[1]
A plane-wave DFT calculation with GGA-PBE was carried out for a geometry-optimized DySi2 structure.

Total magnetic moment (μB per formula unit): 0.00
Formation energy from raw total energies (eV/atom): -0.5399

Cell lengths 7.912, 7.912, 7.912 Å; angles 151.14, 151.14, 41.27 degrees
Positions (direct):
1 Dy 0.375 0.625 0.750
2 Dy 0.625 0.375 0.250
3 Si 0.044 0.794 0.250
4 Si 0.206 0.956 0.250
5 Si 0.794 0.044 0.750
6 Si 0.956 0.206 0.750

[2]
A plane-wave DFT calculation with GGA-PBE was carried out for a geometry-optimized SmDy2Si2 structure.

Excess energy over the best structure of this formula in the dataset (eV per atom): 0.052
Total magnetic moment (μB per formula unit): 0.00
Formation energy from raw total energies (eV/atom): -0.6018

Cell lengths 5.794, 5.794, 5.794 Å; angles 135.51, 113.32, 83.72 degrees
Positions (direct):
1 Sm 0.000 0.000 0.000
2 Dy 0.301 0.801 0.500
3 Dy 0.699 0.199 0.500
4 Si 0.307 0.500 0.807
5 Si 0.693 0.500 0.193